## RbThAgTe4 (PBE)

Data for a relaxed structure of RbThAgTe4.

As for the formation energy without anion corrections: -55.0 kJ/mol of atoms. The value obtained for the calculated total energy is -3.971 eV/atom. Its theoretical density is 6.62 g/cm3.

It has space group Cmcm (No. 63), with a = 6.3807 Å, b = 18.9953 Å, c = 7.7418 Å, α = 90.00°, β = 90.00° and γ = 90.00°. Symmetry generates all atoms from Rb at (0.0000, 0.0925, 0.2500), Th at (0.0000, 0.3619, 0.2500), Ag at (0.0000, 0.3318, 0.7500), Te at (0.0000, 0.0973, 0.7500), Te at (0.0000, 0.4748, 0.7500) and Te at (0.2500, 0.2500, 0.0000).